The following is a PBE-GGA calculation of Cr2PIr2 after structural relaxation, from the Alexandria database.

Calculated values
calculated total energy: -8.268 eV/atom
magnetic moment: 0.00 μB per cell

Cell lengths 7.272, 7.272, 2.686 Å; angles 90.00, 90.00, 90.00 degrees
Fractional coordinates of all 10 atoms:
Cr (0.335, 0.835, 0.000)
Cr (0.835, 0.665, 0.000)
Cr (0.665, 0.165, 0.000)
Cr (0.165, 0.335, 0.000)
Ir (0.130, 0.630, 0.500)
Ir (0.630, 0.870, 0.500)
Ir (0.870, 0.370, 0.500)
Ir (0.370, 0.130, 0.500)
P (0.000, 0.000, 0.000)
P (0.500, 0.500, 0.000)